Entry from Alexandria: a relaxed structure of Pr4IrAuI2 (PBE-GGA).

POSCAR file:
```
Pr4IrAuI2
1.0
4.321 0.000 0.000
0.000 7.517 0.130
0.000 -2.653 8.109
Pr Ir Au I
4 1 1 2
Cartesian
2.161 1.384 1.582
2.161 3.479 6.658
0.000 -0.044 6.623
0.000 4.907 1.617
2.161 3.758 0.065
0.000 0.000 0.000
2.161 -1.327 4.055
0.000 2.432 4.120
```

* formation energy without anion corrections: -0.91 eV per atom
* total DFT energy (no corrections): -5.21 eV/atom